[1]
Density functional theory data (GGA-PBEsol) for a geometry-optimized Mg2AlFe structure.

Results
* ρ: 3.244 Mg/m³
* ΔE_f: 0.161 eV/atom

```
data_Mg2AlFe
_chemical_formula_sum 'Mg6 Al3 Fe3'
_space_group_name_H-M_alt 'R 3 m'
_space_group_IT_number 160
_space_group_name_Hall 'R 3 -2"'
_cell_length_a 2.9078
_cell_length_b 2.9078
_cell_length_c 27.5615
_cell_angle_alpha 90.00
_cell_angle_beta 90.00
_cell_angle_gamma 120.00
loop_
_atom_site_label
_atom_site_fract_x
_atom_site_fract_y
_atom_site_fract_z
Mg1 0.0000 0.0000 0.0000
Mg2 0.0000 0.0000 0.2358
Al1 0.0000 0.0000 0.7564
Fe1 0.0000 0.0000 0.4918
```

---

[2]
Density functional theory data (GGA-PBEsol) for a geometry-optimized TaBeAsBr2 structure.

Results
* formation energy from raw total energies: 13.2 kcal/mol of atoms
* ρ: 5.509 Mg/m³

```
data_TaBeAsBr2
_chemical_formula_sum 'Ta1 Be1 As1 Br2'
_space_group_name_H-M_alt 'P 4/m m m'
_space_group_IT_number 123
_space_group_name_Hall '-P 4 2'
_cell_length_a 5.036
_cell_length_b 5.036
_cell_length_c 5.046
_cell_angle_alpha 90.00
_cell_angle_beta 90.00
_cell_angle_gamma 90.00
loop_
_atom_site_label
_atom_site_fract_x
_atom_site_fract_y
_atom_site_fract_z
Ta1 0.000 0.000 0.000
Be1 0.500 0.500 0.500
As1 0.000 0.000 0.500
Br1 0.000 0.500 0.000
```

---

> The highest ρ belongs to which entry?

TaBeAsBr2